This record from the Alexandria database describes a relaxed structure of Er7Hg4O. The functional is PBE-GGA.

abc: 8.3494 8.3494 10.7640
angles: 127.33 127.33 33.86
Fractional positions:
Er 0.0000 0.0000 0.0000
Er 0.1274 0.1274 0.5470
Er 0.2841 0.2841 0.1502
Er 0.4466 0.4466 0.7556
Er 0.5534 0.5534 0.2444
Er 0.7159 0.7159 0.8498
Er 0.8726 0.8726 0.4530
Hg 0.0851 0.0851 0.7968
Hg 0.2285 0.2285 0.3743
Hg 0.7715 0.7715 0.6257
Hg 0.9149 0.9149 0.2032
O 0.5000 0.5000 0.0000

For the formation energy without anion corrections, the calculation gives -7.5 eV per formula unit. As for the space group: C2/m (12). Its total moment is 0.2 μB per formula unit.